## Ac2La3Si2 (PBE)

Data for crystalline Ac2La3Si2 at its relaxed geometry.

Results
Its crystal system is monoclinic. The spin magnetization comes out at 0.00 Bohr magnetons per cell. Its density of states at the Fermi level is 1.18 states/eV per atom. The value obtained for the formation energy (no corrections) is -2.78 eV/f.u. The symmetry is C2/m, No. 12.

Geometry as POSCAR:
```
Ac2La3Si2
1.0
-2.3777 3.2400 -1.7880
-0.9935 -5.6485 -3.5035
-4.1923 -1.7355 7.8298
Ac Si La
2 2 3
direct
0.3436 0.4979 0.1887 Ac
0.6564 0.5021 0.8113 Ac
0.0481 0.8844 0.2117 Si
0.9519 0.1156 0.7883 Si
0.8104 0.1764 0.4448 La
0.1896 0.8236 0.5552 La
0.5000 0.0000 0.0000 La
```

## SnBrF2 (PBE)

Data for crystalline SnBrF2 at its relaxed geometry.

Results
Its crystal system is trigonal. The spin magnetization comes out at 0.92 Bohr magnetons per cell. The calculation puts the offset from the most stable computed form at 14 meV/atom. Its density of states at the Fermi level is 1.22 states/eV per atom. The value obtained for the formation energy (no corrections) is -5.42 eV/f.u. The symmetry is R-3m, No. 166.

Geometry as POSCAR:
```
SnBrF2
1.0
9.5478 0.0003 0.0002
8.7812 3.7485 0.0002
8.7812 1.7960 3.2903
F Sn Br
2 1 1
direct
0.8674 0.8674 0.8674 F
0.1326 0.1326 0.1326 F
0.5000 0.5000 0.5000 Sn
0.0000 0.0000 0.0000 Br
```

## Tm3CdHg6 (PBE)

Data for crystalline Tm3CdHg6 at its relaxed geometry.

Results
Its crystal system is monoclinic. The spin magnetization comes out at 0.00 Bohr magnetons per cell. The energy of formation from the pure elements comes out at -3.1 eV per formula unit. Its density of states at the Fermi level is 0.46 states/eV per atom. The symmetry is P2_1/m, No. 11.

Geometry as POSCAR:
```
Tm3CdHg6
1.0
-1.7049 -3.5858 3.0609
-5.6799 -2.7587 -6.3954
9.9448 -5.4753 -0.8750
Hg Tm Cd
12 6 2
direct
0.2500 0.8496 0.2920 Hg
0.7500 0.5330 0.9195 Hg
0.2500 0.0483 0.8603 Hg
0.7500 0.3371 0.3071 Hg
0.7500 0.7403 0.5130 Hg
0.2500 0.6629 0.6929 Hg
0.2500 0.4670 0.0805 Hg
0.7500 0.1504 0.7080 Hg
0.7500 0.8403 0.8325 Hg
0.2500 0.2597 0.4870 Hg
0.7500 0.9517 0.1397 Hg
0.2500 0.1597 0.1675 Hg
0.7500 0.2189 0.0071 Tm
0.7500 0.6523 0.2095 Tm
0.2500 0.3477 0.7905 Tm
0.7500 0.4582 0.6096 Tm
0.2500 0.7811 0.9929 Tm
0.2500 0.5418 0.3904 Tm
0.7500 0.0453 0.4236 Cd
0.2500 0.9547 0.5764 Cd
```

Q: Among the records above, which one has the highest spin magnetization?
A: SnBrF2

Repeat the third record exactly.
## Tm3CdHg6 (PBE)

Data for crystalline Tm3CdHg6 at its relaxed geometry.

Results
Its crystal system is monoclinic. The spin magnetization comes out at 0.00 Bohr magnetons per cell. The energy of formation from the pure elements comes out at -3.1 eV per formula unit. Its density of states at the Fermi level is 0.46 states/eV per atom. The symmetry is P2_1/m, No. 11.

Geometry as POSCAR:
```
Tm3CdHg6
1.0
-1.7049 -3.5858 3.0609
-5.6799 -2.7587 -6.3954
9.9448 -5.4753 -0.8750
Hg Tm Cd
12 6 2
direct
0.2500 0.8496 0.2920 Hg
0.7500 0.5330 0.9195 Hg
0.2500 0.0483 0.8603 Hg
0.7500 0.3371 0.3071 Hg
0.7500 0.7403 0.5130 Hg
0.2500 0.6629 0.6929 Hg
0.2500 0.4670 0.0805 Hg
0.7500 0.1504 0.7080 Hg
0.7500 0.8403 0.8325 Hg
0.2500 0.2597 0.4870 Hg
0.7500 0.9517 0.1397 Hg
0.2500 0.1597 0.1675 Hg
0.7500 0.2189 0.0071 Tm
0.7500 0.6523 0.2095 Tm
0.2500 0.3477 0.7905 Tm
0.7500 0.4582 0.6096 Tm
0.2500 0.7811 0.9929 Tm
0.2500 0.5418 0.3904 Tm
0.7500 0.0453 0.4236 Cd
0.2500 0.9547 0.5764 Cd
```

Q: Which formula does entry 1 have?
A: Ac2La3Si2